# 1
VASP calculation (PBE) on Tb3Te2 after structural relaxation.

```
Tb3Te2
1.0
-0.2322 -0.0439 -4.1282
-3.3091 -11.2590 0.3060
-11.4200 3.3730 0.6066
Tb Te
12 8
Direct
0.2500 0.6238 0.5458
0.2500 0.8762 0.0458
0.7500 0.3762 0.4542
0.7500 0.1238 0.9542
0.7500 0.0653 0.6220
0.7500 0.4347 0.1220
0.2500 0.9347 0.3780
0.2500 0.5653 0.8780
0.2500 0.2922 0.7111
0.2500 0.2078 0.2111
0.7500 0.7078 0.2889
0.7500 0.7922 0.7889
0.2500 0.1811 0.4689
0.2500 0.3189 0.9689
0.7500 0.8189 0.5311
0.7500 0.6811 0.0311
0.7500 0.4956 0.6940
0.7500 0.0044 0.1940
0.2500 0.5044 0.3060
0.2500 0.9956 0.8060
```

spin magnetization	0.0	μB per formula unit
ΔE_f (raw)	-1.08	eV per atom
final energy	-0.188	Ha/atom



# 2
VASP calculation (PBE) on TbThTe2 after structural relaxation.

```
TbThTe2
1.0
4.0287 0.0000 1.1200
1.8587 3.5744 1.1200
-0.1742 -0.1058 8.4323
Tb Th Te
1 1 2
Direct
0.6678 0.6678 0.9965
0.4988 0.4988 0.5037
0.0797 0.0797 0.7608
0.2537 0.2537 0.2390
```

spin magnetization	0.0	μB per formula unit
ΔE_f (raw)	-1.17	eV per atom
final energy	-0.212	Ha/atom
excess energy over the best structure of this formula in the dataset	0	meV/atom



# 3
VASP calculation (PBE) on TbThTe4 after structural relaxation.

```
TbThTe4
1.0
-0.7271 -4.2019 -6.3591
7.0460 -2.6135 0.9213
-2.6589 -5.6138 4.4101
Tb Th Te
2 2 8
Direct
0.5000 0.0000 0.5000
0.0000 0.5000 0.5000
0.0000 0.0000 0.0000
0.5000 0.5000 0.0000
0.8553 0.6447 0.1467
0.6447 0.1447 0.8533
0.3648 0.3676 0.3687
0.1352 0.8676 0.6313
0.1447 0.3553 0.8533
0.3553 0.8553 0.1467
0.6352 0.6324 0.6313
0.8648 0.1324 0.3687
```

spin magnetization	0.0	μB per formula unit
ΔE_f (raw)	-0.95	eV per atom
final energy	-0.186	Ha/atom



# 4
VASP calculation (PBE) on TbTh2Te5 after structural relaxation.

```
TbTh2Te5
1.0
-4.2061 4.4088 -1.2317
-2.4493 -5.3655 4.8462
5.1036 8.0929 11.5396
Tb Th Te
2 4 10
Direct
0.7817 0.5634 0.7500
0.2183 0.4366 0.2500
0.8407 0.6814 0.4461
0.8407 0.6814 0.0539
0.1593 0.3186 0.5539
0.1593 0.3186 0.9461
0.9509 0.9018 0.8756
0.9509 0.9018 0.6244
0.3443 0.6886 0.4260
0.3443 0.6886 0.0740
0.7498 0.4996 0.2500
0.2502 0.5004 0.7500
0.6557 0.3114 0.5740
0.6557 0.3114 0.9260
0.0491 0.0982 0.1244
0.0491 0.0982 0.3756
```

spin magnetization	0.0	μB per formula unit
ΔE_f (raw)	-1.17	eV per atom
final energy	-0.204	Ha/atom



# 5
VASP calculation (PBE) on TbTh3Te6 after structural relaxation.

```
TbTh3Te6
1.0
4.2125 0.0000 0.0000
0.0000 11.5849 0.1124
0.0000 -3.7810 13.3282
Tb Th Te
2 6 12
Direct
0.7500 0.0401 0.6908
0.2500 0.9599 0.3092
0.7500 0.3677 0.8624
0.2500 0.6323 0.1376
0.7500 0.6814 0.5222
0.2500 0.3186 0.4778
0.7500 0.1274 0.0731
0.2500 0.8726 0.9269
0.7500 0.4740 0.6282
0.2500 0.5260 0.3718
0.7500 0.8540 0.1005
0.2500 0.1460 0.8995
0.7500 0.4182 0.0990
0.2500 0.5818 0.9010
0.7500 0.7578 0.3126
0.2500 0.2422 0.6874
0.7500 0.1098 0.4607
0.2500 0.8902 0.5393
0.7500 0.8059 0.7541
0.2500 0.1941 0.2459
```

spin magnetization	0.0	μB per formula unit
ΔE_f (raw)	-1.18	eV per atom
final energy	-0.211	Ha/atom



# 6
VASP calculation (PBE) on TbThTe2 after structural relaxation.

```
TbThTe2
1.0
3.8379 0.0000 0.0000
0.0000 5.3813 0.0000
0.0000 0.0000 5.3813
Te Tb Th
2 1 1
Direct
0.0000 0.0000 0.5000
0.0000 0.5000 0.0000
0.5000 0.0000 0.0000
0.5000 0.5000 0.5000
```

spin magnetization	0.0	μB per formula unit
ΔE_f (raw)	-1.15	eV per atom
final energy	-0.211	Ha/atom
excess energy over the best structure of this formula in the dataset	19	meV/atom



# 7
VASP calculation (PBE) on TbThTe after structural relaxation.

```
TbThTe
1.0
3.8494 0.0000 0.0000
0.0000 3.8494 0.0000
-1.9247 -1.9247 6.2433
Te Tb Th
1 1 1
Direct
0.6717 0.6717 0.3434
0.3143 0.3143 0.6286
0.0140 0.0140 0.0280
```

spin magnetization	0.0	μB per formula unit
ΔE_f (raw)	-0.61	eV per atom
final energy	-0.209	Ha/atom
excess energy over the best structure of this formula in the dataset	35	meV/atom



# 8
VASP calculation (PBE) on Tb3ThTe4 after structural relaxation.

```
Tb3ThTe4
1.0
-3.2198 2.3350 -1.5837
0.4870 -4.0763 -1.2140
-17.7152 -8.9239 22.8590
Te Tb Th
8 6 2
Direct
0.6667 0.3333 0.9390
0.3333 0.6667 0.0610
0.3333 0.6667 0.4390
0.6667 0.3333 0.5610
0.0000 0.0000 0.8170
0.0000 0.0000 0.1830
0.0000 0.0000 0.3170
0.0000 0.0000 0.6830
0.0000 0.0000 0.0000
0.0000 0.0000 0.5000
0.3333 0.6667 0.8780
0.6667 0.3333 0.1220
0.6667 0.3333 0.3780
0.3333 0.6667 0.6220
0.6667 0.3333 0.7500
0.3333 0.6667 0.2500
```

spin magnetization	0.0	μB per formula unit
ΔE_f (raw)	-1.23	eV per atom
final energy	-0.201	Ha/atom
excess energy over the best structure of this formula in the dataset	0	meV/atom



# 9
VASP calculation (PBE) on TbThTe2 after structural relaxation.

```
TbThTe2
1.0
5.3942 0.0000 0.0000
2.6971 4.6715 0.0000
2.6971 1.5572 4.4043
Te Tb Th
2 1 1
Direct
0.2500 0.2500 0.2500
0.7500 0.7500 0.7500
0.5000 0.5000 0.5000
0.0000 0.0000 0.0000
```

spin magnetization	0.0	μB per formula unit
ΔE_f (raw)	-1.14	eV per atom
final energy	-0.210	Ha/atom
excess energy over the best structure of this formula in the dataset	36	meV/atom



# 10
VASP calculation (PBE) on TbThTe after structural relaxation.

```
TbThTe
1.0
3.8281 0.0000 0.0000
0.0000 5.2630 0.0000
0.0000 -2.6315 4.5579
Te Tb Th
1 1 1
Direct
0.4985 0.3333 0.6667
0.5006 0.6667 0.3333
0.0009 0.0000 0.0000
```

spin magnetization	0.0	μB per formula unit
ΔE_f (raw)	-0.36	eV per atom
final energy	-0.199	Ha/atom
excess energy over the best structure of this formula in the dataset	293	meV/atom



# 11
VASP calculation (PBE) on Tb3ThTe4 after structural relaxation.

```
Tb3ThTe4
1.0
4.3611 0.0000 0.0000
0.0000 7.6425 -0.0505
0.0000 -2.4574 7.2368
Tb Th Te
3 1 4
Direct
0.0000 0.0000 0.5000
0.5000 0.5000 0.5000
0.0000 0.5000 0.0000
0.5000 0.0000 0.0000
0.0000 0.2577 0.2577
0.5000 0.7464 0.2536
0.0000 0.7423 0.7423
0.5000 0.2536 0.7464
```

spin magnetization	0.0	μB per formula unit
ΔE_f (raw)	-1.22	eV per atom
final energy	-0.201	Ha/atom
excess energy over the best structure of this formula in the dataset	6	meV/atom



# 12
VASP calculation (PBE) on TbThTe2 after structural relaxation.

```
TbThTe2
1.0
6.2694 0.0000 0.0000
0.0000 6.2694 0.0000
-3.1347 -3.1347 6.2380
Tb Th Te
2 2 4
Direct
0.5000 0.5000 0.0000
0.2500 0.7500 0.5000
0.7500 0.2500 0.5000
0.0000 0.0000 0.0000
0.7457 0.7457 0.4915
0.4957 0.9957 0.9915
0.2543 0.2543 0.5085
0.0043 0.5043 0.0085
```

spin magnetization	0.0	μB per formula unit
ΔE_f (raw)	-1.14	eV per atom
final energy	-0.210	Ha/atom
excess energy over the best structure of this formula in the dataset	34	meV/atom



# 13
VASP calculation (PBE) on Tb2Th2Te7 after structural relaxation.

```
Tb2Th2Te7
1.0
-2.9470 -1.1577 -3.0932
2.8529 -8.8034 -2.5903
-4.4582 -7.5619 3.9105
Tb Th Te
2 2 7
Direct
0.0000 0.7797 0.2203
0.5000 0.3227 0.6773
0.7360 0.8549 0.6731
0.2640 0.3269 0.1451
0.8196 0.0677 0.2932
0.8587 0.4320 0.8506
0.5000 0.0113 0.9887
0.6098 0.4914 0.2889
0.3902 0.7111 0.5086
0.1804 0.7068 0.9323
0.1413 0.1494 0.5680
```

spin magnetization	0.0	μB per formula unit
ΔE_f (raw)	-1.27	eV per atom
final energy	-0.201	Ha/atom



# 14
VASP calculation (PBE) on Tb3ThTe6 after structural relaxation.

```
Tb3ThTe6
1.0
4.3483 0.0000 0.0000
0.0000 12.5029 0.0347
0.0000 -4.1452 12.1782
Tb Th Te
6 2 12
Direct
0.7500 0.4284 0.8366
0.2500 0.5716 0.1634
0.7500 0.6797 0.5021
0.2500 0.3203 0.4979
0.7500 0.1545 0.0773
0.2500 0.8455 0.9227
0.7500 0.0462 0.6986
0.2500 0.9538 0.3014
0.7500 0.4847 0.6206
0.2500 0.5153 0.3794
0.7500 0.9152 0.0999
0.2500 0.0848 0.9001
0.7500 0.3929 0.0645
0.2500 0.6071 0.9355
0.7500 0.7472 0.2798
0.2500 0.2528 0.7202
0.7500 0.1145 0.4683
0.2500 0.8855 0.5317
0.7500 0.8073 0.7483
0.2500 0.1927 0.2517
```

spin magnetization	0.0	μB per formula unit
ΔE_f (raw)	-1.34	eV per atom
final energy	-0.197	Ha/atom



# 15
VASP calculation (PBE) on Tb4Th3Te8 after structural relaxation.

```
Tb4Th3Te8
1.0
7.7418 -0.1809 -4.2547
-4.9964 7.2506 -0.2210
-0.2023 0.1360 8.8049
Tb Th Te
4 3 8
Direct
0.5000 0.0000 0.0000
0.0000 0.5000 0.0000
0.0000 0.0000 0.0000
0.0000 0.0000 0.5000
0.5000 0.5000 0.0000
0.5000 0.0000 0.5000
0.5000 0.5000 0.5000
0.5121 0.2526 0.2526
0.0000 0.7447 0.2553
0.9943 0.2514 0.2514
0.5000 0.7539 0.2461
0.5000 0.2461 0.7539
0.0057 0.7486 0.7486
0.0000 0.2553 0.7447
0.4879 0.7474 0.7474
```

spin magnetization	0.0	μB per formula unit
ΔE_f (raw)	-1.24	eV per atom
final energy	-0.207	Ha/atom



# 16
VASP calculation (PBE) on TbTh2Te4 after structural relaxation.

```
TbTh2Te4
1.0
-2.8825 -1.2949 2.7329
-2.2081 -2.3484 -6.6350
8.0779 -13.5408 2.1044
Tb Th Te
2 4 8
Direct
0.6056 0.2111 0.7500
0.3944 0.7889 0.2500
0.1498 0.2997 0.4376
0.8502 0.7003 0.9376
0.1498 0.2997 0.0624
0.8502 0.7003 0.5624
0.7986 0.5972 0.1327
0.7986 0.5972 0.3673
0.2014 0.4028 0.8673
0.2014 0.4028 0.6327
0.9416 0.8832 0.7500
0.0584 0.1168 0.2500
0.5000 0.0000 0.0000
0.5000 0.0000 0.5000
```

spin magnetization	0.0	μB per formula unit
ΔE_f (raw)	-1.14	eV per atom
final energy	-0.210	Ha/atom



# 17
VASP calculation (PBE) on Tb2ThTe3 after structural relaxation.

```
Tb2ThTe3
1.0
4.2581 0.0000 0.0000
0.0000 6.2422 0.0000
-2.1290 -3.1211 6.8273
Tb Th Te
2 1 3
Direct
0.8393 0.8393 0.1787
0.1607 0.1607 0.8213
0.5000 0.5000 0.5000
0.8251 0.3251 0.1502
0.1749 0.6749 0.8498
0.5000 0.0000 0.5000
```

spin magnetization	0.0	μB per formula unit
ΔE_f (raw)	-1.19	eV per atom
final energy	-0.204	Ha/atom



# 18
VASP calculation (PBE) on TbThTe2 after structural relaxation.

```
TbThTe2
1.0
4.1323 0.0000 0.0000
2.0661 3.5786 0.0000
2.0661 1.1929 10.1780
Te Tb Th
2 1 1
Direct
0.0988 0.0988 0.7037
0.9012 0.9012 0.2963
0.0000 0.0000 0.0000
0.5000 0.5000 0.5000
```

spin magnetization	0.0	μB per formula unit
ΔE_f (raw)	-0.72	eV per atom
final energy	-0.195	Ha/atom
excess energy over the best structure of this formula in the dataset	450	meV/atom



# 19
VASP calculation (PBE) on Tb6ThTe8 after structural relaxation.

```
Tb6ThTe8
1.0
7.5480 0.0000 4.3579
2.5160 7.1163 4.3578
0.0000 0.0000 8.7157
Tb Th Te
6 1 8
Direct
0.0000 0.5000 0.5000
0.5000 0.0000 0.0000
0.5000 0.5000 0.0000
0.0000 0.0000 0.5000
0.0000 0.5000 0.0000
0.5000 0.0000 0.5000
0.0000 0.0000 0.0000
0.7500 0.7500 0.7500
0.2500 0.2500 0.2500
0.7384 0.2616 0.2616
0.2616 0.7384 0.7384
0.2616 0.2616 0.7384
0.7384 0.7384 0.2616
0.7384 0.2616 0.7384
0.2616 0.7384 0.2616
```

spin magnetization	0.0	μB per formula unit
ΔE_f (raw)	-1.33	eV per atom
final energy	-0.197	Ha/atom



# 20
VASP calculation (PBE) on TbThTe6 after structural relaxation.

```
TbThTe6
1.0
-2.4775 -3.6768 -0.0498
1.4401 -0.9150 -4.0942
11.3616 -5.0516 5.1252
Tb Th Te
1 1 6
Direct
0.8312 0.0000 0.6623
0.1701 0.5000 0.3402
0.5787 0.5000 0.1574
0.4204 0.0000 0.8408
0.2928 0.5000 0.5857
0.7076 0.0000 0.4153
0.9205 0.5000 0.8410
0.0787 0.0000 0.1574
```

spin magnetization	0.0	μB per formula unit
ΔE_f (raw)	-0.95	eV per atom
final energy	-0.177	Ha/atom



# 21
VASP calculation (PBE) on TbThTe after structural relaxation.

```
TbThTe
1.0
3.8797 0.0000 0.0000
-1.9398 3.3599 0.0000
0.0000 0.0000 14.6893
Th Te Tb
2 2 2
Direct
0.0000 0.0000 0.0000
0.3333 0.6667 0.5000
0.0000 0.0000 0.3436
0.0000 0.0000 0.6564
0.3333 0.6667 0.8050
0.3333 0.6667 0.1950
```

spin magnetization	0.4	μB per formula unit
ΔE_f (raw)	-0.65	eV per atom
final energy	-0.210	Ha/atom
excess energy over the best structure of this formula in the dataset	0	meV/atom



# 22
VASP calculation (PBE) on Tb2Th3Te8 after structural relaxation.

```
Tb2Th3Te8
1.0
-7.4038 0.5634 -0.0251
-0.3830 -5.3437 -6.9745
1.9870 -3.4632 8.0891
Tb Th Te
2 3 8
Direct
0.3259 0.2452 0.4904
0.6741 0.7548 0.5096
0.5000 0.0000 0.0000
0.0000 0.2483 0.0000
0.0000 0.7517 0.0000
0.8870 0.6124 0.2248
0.1130 0.3876 0.7752
0.9122 0.1304 0.2609
0.0878 0.8696 0.7391
0.5818 0.6207 0.7479
0.5818 0.1272 0.7479
0.4182 0.8728 0.2521
0.4182 0.3793 0.2521
```

spin magnetization	0.0	μB per formula unit
ΔE_f (raw)	-1.16	eV per atom
final energy	-0.203	Ha/atom